[1]
The following is a PBE calculation of a relaxed structure of LiNi2Ag, from Alexandria via LeMat-Bulk.

Unit cell a=4.689 b=4.689 c=2.631 alpha=90.00 beta=90.00 gamma=115.07
Fractional coordinates of all 4 atoms:
Li 0.000 0.000 0.000
Ni 0.000 0.500 0.500
Ni 0.500 0.000 0.500
Ag 0.500 0.500 0.000

Computed properties:
Calculated density: 7.36 g cm⁻³
Total energy: -15.7 eV for the cell shown
Crystal system: orthorhombic
M_tot: 0.32 μB per formula unit

---

[2]
The following is a PBE calculation of a relaxed structure of LiNiAg2, from Alexandria via LeMat-Bulk.

Unit cell a=2.983 b=2.983 c=6.637 alpha=90.00 beta=90.00 gamma=90.00
Fractional coordinates of all 4 atoms:
Li 0.000 0.000 0.000
Ni 0.500 0.500 0.197
Ag 0.000 0.000 0.446
Ag 0.500 0.500 0.753

Computed properties:
Calculated density: 7.91 g cm⁻³
Total energy: -13.1 eV for the cell shown
Crystal system: tetragonal
M_tot: 0.00 μB per formula unit

---

[3]
The following is a PBE calculation of a relaxed structure of LiNi2Ag, from Alexandria via LeMat-Bulk.

Unit cell a=4.472 b=4.472 c=4.694 alpha=99.35 beta=99.35 gamma=34.56
Fractional coordinates of all 4 atoms:
Li 0.000 0.000 0.000
Ni 0.245 0.245 0.713
Ni 0.509 0.509 0.544
Ag 0.757 0.757 0.227

Computed properties:
Calculated density: 7.35 g cm⁻³
Total energy: -16.0 eV for the cell shown
Crystal system: monoclinic
M_tot: 0.81 μB per formula unit

---

[4]
The following is a PBE calculation of a relaxed structure of LiNi2Ag, from Alexandria via LeMat-Bulk.

Unit cell a=4.769 b=4.769 c=4.769 alpha=136.14 beta=136.14 gamma=63.77
Fractional coordinates of all 4 atoms:
Li 0.000 0.000 0.000
Ni 0.250 0.750 0.500
Ni 0.750 0.250 0.500
Ag 0.500 0.500 0.000

Computed properties:
Calculated density: 7.50 g cm⁻³
Total energy: -15.9 eV for the cell shown
Crystal system: tetragonal
M_tot: 0.48 μB per formula unit